## LiInSb2 (GGA-PBE)

Data for a geometry-optimized LiInSb2 structure.

## Properties
Total energy ... -13.4 eV/cell
Theoretical density ... 5.78 g cm⁻³
Raw formation energy ... -0.126 eV/atom

a b c (Å): 6.658 6.658 6.658
angles (deg): 145.02 141.39 53.07
Sites, in units of the cell vectors:
Li1 0.262 0.762 0.500
Sb1 0.751 0.251 0.500
In1 0.544 0.544 0.000
Sb2 0.944 0.944 0.000

---

## LiInSb2 (GGA-PBE)

Data for a geometry-optimized LiInSb2 structure.

## Properties
Total energy ... -13.5 eV/cell
Theoretical density ... 5.82 g cm⁻³
Raw formation energy ... -0.163 eV/atom

a b c (Å): 4.380 3.295 7.935
angles (deg): 65.47 90.00 90.00
Sites, in units of the cell vectors:
Sb1 0.000 0.451 0.549
Sb2 0.000 0.049 0.951
In1 0.500 0.250 0.250
Li1 0.500 0.750 0.750

---

## LiInSb2 (GGA-PBE)

Data for a geometry-optimized LiInSb2 structure.

## Properties
Total energy ... -13.4 eV/cell
Theoretical density ... 5.95 g cm⁻³
Raw formation energy ... -0.126 eV/atom

a b c (Å): 7.320 5.666 3.365
angles (deg): 89.39 63.69 120.95
Sites, in units of the cell vectors:
Sb1 0.500 0.000 0.500
Sb2 0.000 0.000 0.000
Li1 0.500 0.500 0.000
In1 0.000 0.500 0.500

---

## LiInSb2 (GGA-PBE)

Data for a geometry-optimized LiInSb2 structure.

## Properties
Total energy ... -13.4 eV/cell
Theoretical density ... 5.79 g cm⁻³
Raw formation energy ... -0.121 eV/atom

a b c (Å): 6.508 6.508 5.036
angles (deg): 67.76 67.76 32.30
Sites, in units of the cell vectors:
Sb1 0.989 0.989 0.140
Li1 0.248 0.248 0.126
In1 0.508 0.508 0.612
Sb2 0.755 0.755 0.621

---

## Li2InSbSe4 (GGA-PBE)

Data for a geometry-optimized Li2InSbSe4 structure.

## Properties
Total energy ... -60.6 eV/cell
Theoretical density ... 5.17 g cm⁻³
Raw formation energy ... -0.711 eV/atom

a b c (Å): 8.008 8.008 7.990
angles (deg): 119.91 119.91 89.78
Sites, in units of the cell vectors:
Sb1 0.000 0.000 0.000
Se1 0.251 0.249 0.992
Se2 0.749 0.751 0.008
Se3 0.751 0.260 0.006
In1 0.000 0.500 0.000
Li1 0.500 0.500 0.000
Se4 0.249 0.740 0.994
Se5 0.760 0.251 0.506
Se6 0.749 0.751 0.492
Li2 0.500 0.000 0.500
Se7 0.240 0.749 0.494
Sb2 0.500 0.500 0.500
Li3 0.000 0.000 0.500
In2 0.000 0.500 0.500
Li4 0.500 0.000 0.000
Se8 0.251 0.249 0.508

---

## SrLiInSb2 (GGA-PBE)

Data for a geometry-optimized SrLiInSb2 structure.

## Properties
Total energy ... -34.7 eV/cell
Theoretical density ... 4.62 g cm⁻³
Raw formation energy ... -0.556 eV/atom

a b c (Å): 4.692 7.574 9.765
angles (deg): 99.18 90.00 108.04
Sites, in units of the cell vectors:
Li1 0.330 0.661 0.933
Sb1 0.642 0.284 0.350
Sr1 0.677 0.354 0.695
Sr2 0.323 0.646 0.305
Sb2 0.132 0.263 0.918
Sb3 0.868 0.737 0.082
In1 0.936 0.872 0.807
Li2 0.670 0.339 0.067
In2 0.064 0.128 0.193
Sb4 0.358 0.716 0.650

---

## SrLi2InSb2 (GGA-PBE)

Data for a geometry-optimized SrLi2InSb2 structure.

## Properties
Total energy ... -39.7 eV/cell
Theoretical density ... 4.71 g cm⁻³
Raw formation energy ... -0.563 eV/atom

a b c (Å): 4.579 7.787 9.090
angles (deg): 90.00 90.00 90.00
Sites, in units of the cell vectors:
In1 0.500 0.148 0.701
In2 0.500 0.648 0.299
Sb1 0.500 0.264 0.331
Li1 0.000 0.375 0.174
Sb2 0.000 0.742 0.113
Li2 0.000 0.875 0.826
Li3 0.500 0.045 0.059
Sb3 0.500 0.764 0.669
Li4 0.500 0.545 0.941
Sr1 0.000 0.972 0.428
Sr2 0.000 0.472 0.572
Sb4 0.000 0.242 0.887

---

## LiZnInSb (GGA-PBE)

Data for a geometry-optimized LiZnInSb structure.

## Properties
Total energy ... -10.3 eV/cell
Theoretical density ... 5.77 g cm⁻³
Raw formation energy ... -0.057 eV/atom

a b c (Å): 5.009 5.009 5.009
angles (deg): 60.00 60.00 60.00
Sites, in units of the cell vectors:
In1 0.750 0.750 0.750
Li1 0.500 0.500 0.500
Sb1 0.250 0.250 0.250
Zn1 0.000 0.000 0.000

---

## Li2ScIn2 (GGA-PBE)

Data for a geometry-optimized Li2ScIn2 structure.

## Properties
Total energy ... -34.0 eV/cell
Theoretical density ... 4.88 g cm⁻³
E_form ... -270 meV/atom
Energy relative to the lowest polymorph listed for this composition ... 56.6 meV per atom

a b c (Å): 7.992 7.992 3.076
angles (deg): 90.00 90.00 90.00
Sites, in units of the cell vectors:
In1 0.182 0.682 0.500
Sc1 0.500 0.500 0.000
In2 0.318 0.182 0.500
Li1 0.884 0.616 0.000
In3 0.682 0.818 0.500
Li2 0.116 0.384 0.000
Sc2 0.000 0.000 0.000
Li3 0.384 0.884 0.000
Li4 0.616 0.116 0.000
In4 0.818 0.318 0.500

---

## LiScIn2 (GGA-PBE)

Data for a geometry-optimized LiScIn2 structure.

## Properties
Total energy ... -14.5 eV/cell
Theoretical density ... 5.16 g cm⁻³
E_form ... -191 meV/atom

a b c (Å): 5.003 5.003 6.044
angles (deg): 81.34 81.34 37.32
Sites, in units of the cell vectors:
In1 0.504 0.504 0.483
Sc1 0.750 0.750 0.750
In2 0.996 0.996 0.017
Li1 0.250 0.250 0.250

---

## LiScIn2 (GGA-PBE)

Data for a geometry-optimized LiScIn2 structure.

## Properties
Total energy ... -14.5 eV/cell
Theoretical density ... 5.11 g cm⁻³
E_form ... -207 meV/atom

a b c (Å): 9.833 9.833 9.833
angles (deg): 19.38 19.38 19.38
Sites, in units of the cell vectors:
In1 0.998 0.998 0.998
In2 0.502 0.502 0.502
Li1 0.250 0.250 0.250
Sc1 0.750 0.750 0.750

---

## LiScIn2 (GGA-PBE)

Data for a geometry-optimized LiScIn2 structure.

## Properties
Total energy ... -14.3 eV/cell
Theoretical density ... 5.40 g cm⁻³
E_form ... -139 meV/atom

a b c (Å): 4.966 4.966 4.966
angles (deg): 60.00 60.00 60.00
Sites, in units of the cell vectors:
Sc1 0.750 0.750 0.750
Li1 0.500 0.500 0.500
In1 0.250 0.250 0.250
In2 0.000 0.000 0.000